Computed, not measured: crystalline BeCrW at its relaxed geometry at the PBE level of DFT.

a = 5.3894 Å, b = 5.3894 Å, c = 5.3894 Å
α = 90.00°, β = 90.00°, γ = 90.00°
Space group F-43m (No. 216)
Unique sites:
Be  0.0000  0.0000  0.0000 [4 per cell]
Cr  0.2500  0.2500  0.2500 [4 per cell]
W  0.2500  0.2500  0.7500 [4 per cell]

Size of the total moment   1.70 μB/cell
Formation energy   0.6629 eV/atom
Excess energy over the best structure of this formula in the dataset   551.7 meV per atom



Computed, not measured: crystalline BeCrW2 at its relaxed geometry at the PBE level of DFT.

a = 3.0853 Å, b = 3.0853 Å, c = 5.5477 Å
α = 90.00°, β = 90.00°, γ = 90.00°
Space group P4/mmm (No. 123)
Unique sites:
Be  0.0000  0.0000  0.0000 [1 per cell]
Cr  0.0000  0.0000  0.5000 [1 per cell]
W  0.5000  0.5000  0.2359 [2 per cell]

Size of the total moment   0.00 μB/cell
Formation energy   0.1889 eV/atom